A plane-wave DFT calculation with PBE-GGA was carried out for crystalline KReAsF2 at its relaxed geometry.

Summary:
DOS(E_F)   1.76 states/eV/cell
Crystal system   tetragonal
Formation energy without anion corrections   -266 meV per atom

Unit cell a=4.881 b=4.730 c=4.881 alpha=90.00 beta=90.00 gamma=90.00
Positions (direct):
Re (0.000, 0.500, 0.000)
As (0.000, 0.000, 0.000)
K (0.500, 0.500, 0.500)
F (0.000, 0.000, 0.500)
F (0.500, 0.000, 0.000)